Entry 1:
Computed, not measured: a relaxed structure of Ni2GeF8 at the PBE+U level of DFT.

Summary:
electronic total energy = -4.46 eV per atom
space group = C2/m, No. 12

Cell: 5.6075 5.6075 4.2479 Å, 90.10 90.10 72.82°
Last column: nearest neighbours and their distance in Å.
Atoms (fractional coordinates):
Ni: 0.1199 0.1199 0.2594  6 F 1.99-2.14
Ni: 0.8801 0.8801 0.7406  6 F 1.99-2.14
Ge: 0.5000 0.5000 0.5000  6 F 1.83
F: 0.1005 0.1005 0.7577  3 Ni 1.99-2.14
F: 0.2089 0.5976 0.7256  1 Ge 1.83, 1 Ni 2.05
F: 0.3397 0.3397 0.2366  1 Ge 1.83, 1 Ni 1.99
F: 0.4024 0.7911 0.2744  1 Ge 1.83, 1 Ni 2.05
F: 0.5976 0.2089 0.7256  1 Ge 1.83, 1 Ni 2.05
F: 0.6603 0.6603 0.7634  1 Ge 1.83, 1 Ni 1.99
F: 0.7911 0.4024 0.2744  1 Ge 1.83, 1 Ni 2.05
F: 0.8995 0.8995 0.2423  3 Ni 1.99-2.14



Entry 2:
Computed, not measured: a relaxed structure of NiGeF at the PBE+U level of DFT.

Summary:
electronic total energy = -3.58 eV per atom
space group = Amm2, No. 38

Cell: 10.8093 3.0246 3.0246 Å, 56.22 90.00 90.00°
Last column: nearest neighbours and their distance in Å.
Atoms (fractional coordinates):
Ni: 0.1764 0.0000 0.0000  3 F 2.07-2.30
Ni: 0.8236 0.0000 0.0000  3 F 2.07-2.30
Ge: 0.0000 0.3541 0.3541  6 Ni 2.50-2.68
Ge: 0.5000 0.2284 0.2284  4 F 2.53
F: 0.3063 0.7138 0.7138  3 Ni 2.07-2.30
F: 0.6937 0.7138 0.7138  3 Ni 2.07-2.30